# 1
Below is Hf5W after structural relaxation, with properties calculated at the GGA-PBE level.

Structure (extended XYZ):
```
6
Lattice="1.7112 -7.4179 0.0000 1.7112 7.4179 0.0000 0.0000 0.0000 4.9566" Properties=species:S:1:pos:R:3 pbc="T T T"
Hf 0.0000 0.0000 0.0000
Hf 1.7112 5.1699 2.4783
Hf 1.7112 2.4751 0.0000
Hf 1.7112 -2.4751 0.0000
Hf 1.7112 -5.1699 2.4783
W 1.7112 0.0000 2.4783
```

Calculated values
Energy of formation from the pure elements, eV/atom: 0.17

# 2
Below is Nd5N4Cl after structural relaxation, with properties calculated at the GGA-PBE level.

Structure (extended XYZ):
```
10
Lattice="6.1824 -1.8427 0.0000 6.1824 1.8427 0.0000 -4.7126 0.0000 8.1218" Properties=species:S:1:pos:R:3 pbc="T T T"
Nd 0.0000 0.0000 0.0000
Nd -1.2794 0.0000 6.7002
Nd 1.8433 0.0000 5.1217
Nd 5.8089 0.0000 3.0002
Nd 8.9316 0.0000 1.4217
N 1.0641 0.0000 2.4150
N 4.4725 0.0000 0.8228
N 3.1797 0.0000 7.2990
N 6.5881 0.0000 5.7068
Cl -2.3563 0.0000 4.0609
```

Calculated values
Energy relative to the elements, uncorrected, meV per atom: -1418

# 3
Below is CuReOs4 after structural relaxation, with properties calculated at the GGA-PBE level.

Structure (extended XYZ):
```
6
Lattice="0.0000 3.5960 3.5960 3.5960 0.0000 3.5960 3.5960 3.5960 0.0000" Properties=species:S:1:pos:R:3 pbc="T T T"
Cu 0.0000 0.0000 0.0000
Re 1.7980 1.7980 1.7980
Os 4.4969 2.6951 2.6951
Os 2.6951 4.4969 2.6951
Os 2.6951 2.6951 4.4969
Os 4.4969 4.4969 4.4969
```

Calculated values
Energy of formation from the pure elements, eV/atom: 0.81

# 4
Below is Ac5ThPt5 after structural relaxation, with properties calculated at the GGA-PBE level.

Structure (extended XYZ):
```
11
Lattice="6.9009 -3.0689 0.0000 6.9009 3.0689 0.0000 -2.7684 0.0000 8.2441" Properties=species:S:1:pos:R:3 pbc="T T T"
Ac 0.0000 0.0000 0.0000
Ac 4.0295 0.0000 1.4228
Ac 2.7425 0.0000 5.4296
Ac 8.2908 0.0000 2.8145
Ac 7.0038 0.0000 6.8213
Th -1.3842 0.0000 4.1220
Pt 1.2327 0.0000 2.7656
Pt -0.0667 0.0000 6.7927
Pt 5.5167 0.0000 4.1220
Pt 11.1000 0.0000 1.4514
Pt 9.8006 0.0000 5.4785
```

Calculated values
Energy of formation from the pure elements, eV/atom: -1.10

# 5
Below is ZrTe2Br after structural relaxation, with properties calculated at the GGA-PBE level.

Structure (extended XYZ):
```
4
Lattice="3.4436 0.0000 0.0000 0.0095 3.6067 0.0000 0.0542 0.2492 11.5104" Properties=species:S:1:pos:R:3 pbc="T T T"
Zr 0.0000 0.0000 0.0000
Te 1.7265 1.8047 1.5165
Te 1.7635 1.9730 5.4578
Br 1.7759 0.2348 9.4409
```

Calculated values
Energy relative to the elements, uncorrected, meV per atom: -532
E above lowest polymorph, meV/atom: 206.6

# 6
Below is Er2MgCu12Ni3 after structural relaxation, with properties calculated at the GGA-PBE level.

Structure (extended XYZ):
```
18
Lattice="4.2257 2.4397 4.1001 -4.2257 2.4397 4.1001 0.0000 -4.8794 4.1001" Properties=species:S:1:pos:R:3 pbc="T T T"
Er 0.0000 0.0000 2.9419
Er 0.0000 0.0000 9.3582
Mg 0.0000 0.0000 6.1501
Cu 0.0000 -2.7386 3.3018
Cu -2.3717 1.3693 3.3018
Cu -2.0741 -1.1975 6.6198
Cu 0.0000 -2.3949 5.6804
Cu -2.0741 1.1975 5.6804
Cu -2.3717 -1.3693 8.9984
Cu 2.3717 1.3693 3.3018
Cu 2.0741 -1.1975 6.6198
Cu 0.0000 2.3949 6.6198
Cu 2.0741 1.1975 5.6804
Cu 2.3717 -1.3693 8.9984
Cu 0.0000 2.7386 8.9984
Ni -2.1128 -1.2199 4.1001
Ni -2.1128 1.2199 8.2001
Ni 0.0000 2.4397 4.1000
```

Calculated values
Energy of formation from the pure elements, eV/atom: 0.01

# 7
Below is MgCdHg2 after structural relaxation, with properties calculated at the GGA-PBE level.

Structure (extended XYZ):
```
4
Lattice="-1.7169 2.4343 5.5963 1.7169 -2.4343 5.5963 1.7169 2.4343 -5.5963" Properties=species:S:1:pos:R:3 pbc="T T T"
Mg 0.0000 0.0000 0.0000
Cd 1.7169 0.0000 2.6130
Hg 0.0000 0.0000 5.7748
Hg 0.0000 2.4343 3.1702
```

Calculated values
Energy of formation from the pure elements, eV/atom: -0.07

# 8
Below is Sr2BeO after structural relaxation, with properties calculated at the GGA-PBE level.

Structure (extended XYZ):
```
8
Lattice="-3.5400 3.5400 4.4167 3.5400 -3.5400 4.4167 3.5400 3.5400 -4.4167" Properties=species:S:1:pos:R:3 pbc="T T T"
Sr 5.3100 1.1553 -1.1042
Sr 1.1553 1.7700 1.1042
Sr -1.7700 2.3848 3.3125
Sr 2.3848 1.7700 5.5209
Be 3.5400 0.0000 2.2083
Be 0.0000 0.0000 4.4167
O 0.0000 0.0000 0.0000
O 0.0000 3.5400 2.2083
```

Calculated values
Energy relative to the elements, uncorrected, meV per atom: -864
E above lowest polymorph, meV/atom: 0.0

# 9
Below is Y3AlAu2 after structural relaxation, with properties calculated at the GGA-PBE level.

Structure (extended XYZ):
```
6
Lattice="3.5880 0.0000 0.0000 0.0000 3.5880 0.0000 0.0000 0.0000 10.9791" Properties=species:S:1:pos:R:3 pbc="T T T"
Y 0.0000 0.0000 0.0000
Y 0.0000 0.0000 3.6328
Y 0.0000 0.0000 7.3464
Al 1.7940 1.7940 5.4896
Au 1.7940 1.7940 1.8707
Au 1.7940 1.7940 9.1084
```

Calculated values
Energy of formation from the pure elements, eV/atom: -0.71

# 10
Below is PrHo2Sc2 after structural relaxation, with properties calculated at the GGA-PBE level.

Structure (extended XYZ):
```
10
Lattice="-2.7401 3.3897 8.0559 2.7401 -3.3897 8.0559 2.7401 3.3897 -8.0559" Properties=species:S:1:pos:R:3 pbc="T T T"
Pr 0.0000 1.6949 2.0101
Pr 2.7401 1.6949 6.0458
Ho 2.7401 -1.6949 6.0554
Ho 2.7401 1.6949 0.0179
Ho 0.0000 1.6949 8.0380
Ho 0.0000 5.0846 2.0005
Sc 2.7401 -0.0408 3.0899
Sc 2.7401 3.3489 -3.0899
Sc 0.0000 0.0408 11.1459
Sc 0.0000 3.4305 4.9660
```

Calculated values
Energy of formation from the pure elements, eV/atom: 0.13
E above lowest polymorph, meV/atom: 0.0

# 11
Below is Be4CrGe after structural relaxation, with properties calculated at the GGA-PBE level.

Structure (extended XYZ):
```
6
Lattice="0.0000 3.0834 3.0834 3.0834 0.0000 3.0834 3.0834 3.0834 0.0000" Properties=species:S:1:pos:R:3 pbc="T T T"
Be 2.3229 2.3229 2.3229
Be 3.8438 3.8438 2.3229
Be 3.8438 2.3229 3.8438
Be 2.3229 3.8438 3.8438
Cr 4.6250 4.6250 4.6250
Ge 0.0000 0.0000 0.0000
```

Calculated values
Energy of formation from the pure elements, eV/atom: 0.10

# 12
Below is PuSc2PaS4 after structural relaxation, with properties calculated at the GGA-PBE level.

Structure (extended XYZ):
```
8
Lattice="6.5053 0.0000 0.0000 0.0000 3.7415 0.0000 -2.1589 0.0000 6.3884" Properties=species:S:1:pos:R:3 pbc="T T T"
Pu 0.0000 0.0000 0.0000
Sc -1.0794 1.8708 3.1942
Sc 2.1732 0.0000 3.1942
Pa 3.2526 1.8708 0.0000
S 0.0125 0.0000 4.6566
S 1.0935 1.8708 1.7250
S 3.2528 1.8708 4.6635
S 4.3338 0.0000 1.7318
```

Calculated values
Energy relative to the elements, uncorrected, meV per atom: -1767

# 13
Below is VGeS2Cl after structural relaxation, with properties calculated at the GGA-PBE level.

Structure (extended XYZ):
```
5
Lattice="4.6835 0.0000 0.0000 0.0000 4.6835 0.0000 0.0000 0.0000 4.6887" Properties=species:S:1:pos:R:3 pbc="T T T"
V 0.0000 0.0000 0.0000
Ge 2.3418 2.3418 2.3443
S 0.0000 2.3418 0.0000
S 2.3418 0.0000 0.0000
Cl 0.0000 0.0000 2.3443
```

Calculated values
Energy relative to the elements, uncorrected, meV per atom: -198
E above lowest polymorph, meV/atom: 0.0

# 14
Below is BeZnIn after structural relaxation, with properties calculated at the GGA-PBE level.

Structure (extended XYZ):
```
6
Lattice="2.9295 -2.7795 0.0000 2.9295 2.7795 0.0000 -2.8476 0.0000 6.0517" Properties=species:S:1:pos:R:3 pbc="T T T"
Be -1.3986 0.0000 6.0511
Be 4.4100 0.0000 0.0006
Zn 0.0747 -1.3780 4.6909
Zn 2.9367 -1.3780 1.3608
In 0.0714 1.3961 4.1174
In 2.9400 1.3961 1.9343
```

Calculated values
Energy of formation from the pure elements, eV/atom: 0.21
E above lowest polymorph, meV/atom: 4.6